i | First-principles (PBE) data for a relaxed Hf2TiBr crystal, as listed in Alexandria via LeMat-Bulk.

Structure (CIF):
```
data_Hf2TiBr
_chemical_formula_sum 'Hf8 Ti4 Br4'
_cell_length_a 6.9424
_cell_length_b 6.9424
_cell_length_c 6.9424
_cell_angle_alpha 90.00
_cell_angle_beta 90.00
_cell_angle_gamma 90.00
_symmetry_space_group_name_H-M 'F m -3 m'
_symmetry_Int_Tables_number 225
_symmetry_space_group_name_Hall '-F 4 2 3'
loop_
_atom_site_label
_atom_site_fract_x
_atom_site_fract_y
_atom_site_fract_z
Hf1 0.2500 0.2500 0.2500
Ti1 0.0000 0.0000 0.0000
Br1 0.0000 0.0000 0.5000
```

Computed properties:
**Crystal system**: cubic
**Theoretical density**: 9.6 Mg/m³
**Density of states at the Fermi level**: 1.482 states/eV per atom

---

ii | First-principles (PBE) data for a relaxed Hf2TiBr crystal, as listed in Alexandria via LeMat-Bulk.

Structure (CIF):
```
data_Hf2TiBr
_chemical_formula_sum 'Hf8 Ti4 Br4'
_cell_length_a 4.1029
_cell_length_b 4.1029
_cell_length_c 20.4044
_cell_angle_alpha 90.00
_cell_angle_beta 90.00
_cell_angle_gamma 90.00
_symmetry_space_group_name_H-M 'I -4 2 d'
_symmetry_Int_Tables_number 122
_symmetry_space_group_name_Hall 'I -4 2bw'
loop_
_atom_site_label
_atom_site_fract_x
_atom_site_fract_y
_atom_site_fract_z
Hf1 0.2479 0.2500 0.1250
Ti1 0.0000 0.0000 0.0000
Br1 0.0000 0.0000 0.5000
```

Computed properties:
**Crystal system**: tetragonal
**Theoretical density**: 9.4 Mg/m³
**Density of states at the Fermi level**: 1.817 states/eV per atom

---

Stability summary: most stable i, least stable ii.

---

i | First-principles (PBE) data for a relaxed Hf2Ti2Br crystal, as listed in Alexandria via LeMat-Bulk.

Structure (CIF):
```
data_Hf2Ti2Br
_chemical_formula_sum 'Hf4 Ti4 Br2'
_cell_length_a 3.6059
_cell_length_b 3.6059
_cell_length_c 16.8912
_cell_angle_alpha 90.00
_cell_angle_beta 90.00
_cell_angle_gamma 90.00
_symmetry_space_group_name_H-M 'I 4/m m m'
_symmetry_Int_Tables_number 139
_symmetry_space_group_name_Hall '-I 4 2'
loop_
_atom_site_label
_atom_site_fract_x
_atom_site_fract_y
_atom_site_fract_z
Hf1 0.0000 0.0000 0.1157
Ti1 0.0000 0.5000 0.2500
Br1 0.0000 0.0000 0.5000
```

Computed properties:
**Crystal system**: tetragonal
**Theoretical density**: 8.1 Mg/m³
**Density of states at the Fermi level**: 1.280 states/eV per atom

---

ii | First-principles (PBE) data for a relaxed Hf2Ti2Br crystal, as listed in Alexandria via LeMat-Bulk.

Structure (CIF):
```
data_Hf2Ti2Br
_chemical_formula_sum 'Hf4 Ti4 Br2'
_cell_length_a 6.9139
_cell_length_b 6.9139
_cell_length_c 4.5334
_cell_angle_alpha 90.00
_cell_angle_beta 90.00
_cell_angle_gamma 90.00
_symmetry_space_group_name_H-M 'P 4/m b m'
_symmetry_Int_Tables_number 127
_symmetry_space_group_name_Hall '-P 4 2ab'
loop_
_atom_site_label
_atom_site_fract_x
_atom_site_fract_y
_atom_site_fract_z
Hf1 0.1491 0.3509 0.0000
Ti1 0.1375 0.6375 0.5000
Br1 0.0000 0.0000 0.0000
```

Computed properties:
**Crystal system**: tetragonal
**Theoretical density**: 8.2 Mg/m³
**Density of states at the Fermi level**: 1.512 states/eV per atom

---

Stability summary: most stable ii, least stable i.

---

i | First-principles (PBE) data for a relaxed HfTlBr2 crystal, as listed in Alexandria via LeMat-Bulk.

Structure (CIF):
```
data_HfTlBr2
_chemical_formula_sum 'Hf3 Tl3 Br6'
_cell_length_a 3.4328
_cell_length_b 3.4328
_cell_length_c 32.4088
_cell_angle_alpha 90.00
_cell_angle_beta 90.00
_cell_angle_gamma 120.00
_symmetry_space_group_name_H-M 'R -3 m'
_symmetry_Int_Tables_number 166
_symmetry_space_group_name_Hall '-R 3 2"'
loop_
_atom_site_label
_atom_site_fract_x
_atom_site_fract_y
_atom_site_fract_z
Hf1 0.0000 0.0000 0.0000
Tl1 0.0000 0.0000 0.5000
Br1 0.0000 0.0000 0.3930
```

Computed properties:
**Crystal system**: trigonal
**Theoretical density**: 8.2 Mg/m³
**Density of states at the Fermi level**: 0.757 states/eV per atom

---

ii | First-principles (PBE) data for a relaxed HfTlBr2 crystal, as listed in Alexandria via LeMat-Bulk.

Structure (CIF):
```
data_HfTlBr2
_chemical_formula_sum 'Hf4 Tl4 Br8'
_cell_length_a 4.8019
_cell_length_b 4.8019
_cell_length_c 19.2774
_cell_angle_alpha 90.00
_cell_angle_beta 90.00
_cell_angle_gamma 90.00
_symmetry_space_group_name_H-M 'I -4 2 d'
_symmetry_Int_Tables_number 122
_symmetry_space_group_name_Hall 'I -4 2bw'
loop_
_atom_site_label
_atom_site_fract_x
_atom_site_fract_y
_atom_site_fract_z
Hf1 0.0000 0.0000 0.0000
Tl1 0.0000 0.0000 0.5000
Br1 0.2099 0.2500 0.1250
```

Computed properties:
**Crystal system**: tetragonal
**Theoretical density**: 8.1 Mg/m³
**Density of states at the Fermi level**: 1.240 states/eV per atom

---

Stability summary: most stable i, least stable ii.

---

i | First-principles (PBE) data for a relaxed HfTlBr3 crystal, as listed in Alexandria via LeMat-Bulk.

Structure (CIF):
```
data_HfTlBr3
_chemical_formula_sum 'Hf1 Tl1 Br3'
_cell_length_a 5.7598
_cell_length_b 5.7598
_cell_length_c 5.7598
_cell_angle_alpha 90.00
_cell_angle_beta 90.00
_cell_angle_gamma 90.00
_symmetry_space_group_name_H-M 'P m -3 m'
_symmetry_Int_Tables_number 221
_symmetry_space_group_name_Hall '-P 4 2 3'
loop_
_atom_site_label
_atom_site_fract_x
_atom_site_fract_y
_atom_site_fract_z
Hf1 0.0000 0.0000 0.0000
Tl1 0.5000 0.5000 0.5000
Br1 0.0000 0.5000 0.5000
```

Computed properties:
**Crystal system**: cubic
**Theoretical density**: 5.4 Mg/m³
**Density of states at the Fermi level**: 2.129 states/eV per atom

---

ii | First-principles (PBE) data for a relaxed HfTlBr3 crystal, as listed in Alexandria via LeMat-Bulk.

Structure (CIF):
```
data_HfTlBr3
_chemical_formula_sum 'Hf1 Tl1 Br3'
_cell_length_a 5.3357
_cell_length_b 5.3357
_cell_length_c 5.3357
_cell_angle_alpha 90.00
_cell_angle_beta 90.00
_cell_angle_gamma 90.00
_symmetry_space_group_name_H-M 'P m -3 m'
_symmetry_Int_Tables_number 221
_symmetry_space_group_name_Hall '-P 4 2 3'
loop_
_atom_site_label
_atom_site_fract_x
_atom_site_fract_y
_atom_site_fract_z
Hf1 0.0000 0.0000 0.0000
Tl1 0.5000 0.5000 0.5000
Br1 0.0000 0.0000 0.5000
```

Computed properties:
**Crystal system**: cubic
**Theoretical density**: 6.8 Mg/m³
**Density of states at the Fermi level**: 0.742 states/eV per atom

---

Stability summary: most stable ii, least stable i.

---

i | First-principles (PBE) data for a relaxed HfV2Br crystal, as listed in Alexandria via LeMat-Bulk.

Structure (CIF):
```
data_HfV2Br
_chemical_formula_sum 'Hf4 V8 Br4'
_cell_length_a 7.5027
_cell_length_b 7.5027
_cell_length_c 5.1576
_cell_angle_alpha 90.00
_cell_angle_beta 90.00
_cell_angle_gamma 90.00
_symmetry_space_group_name_H-M 'I -4 2 d'
_symmetry_Int_Tables_number 122
_symmetry_space_group_name_Hall 'I -4 2bw'
loop_
_atom_site_label
_atom_site_fract_x
_atom_site_fract_y
_atom_site_fract_z
Hf1 0.0000 0.0000 0.0000
V1 0.1844 0.7500 0.6250
Br1 0.0000 0.0000 0.5000
```

Computed properties:
**Crystal system**: tetragonal
**Theoretical density**: 8.2 Mg/m³
**Density of states at the Fermi level**: 1.255 states/eV per atom

---

ii | First-principles (PBE) data for a relaxed HfV2Br crystal, as listed in Alexandria via LeMat-Bulk.

Structure (CIF):
```
data_HfV2Br
_chemical_formula_sum 'Hf4 V8 Br4'
_cell_length_a 6.4519
_cell_length_b 6.4519
_cell_length_c 6.4519
_cell_angle_alpha 90.00
_cell_angle_beta 90.00
_cell_angle_gamma 90.00
_symmetry_space_group_name_H-M 'F m -3 m'
_symmetry_Int_Tables_number 225
_symmetry_space_group_name_Hall '-F 4 2 3'
loop_
_atom_site_label
_atom_site_fract_x
_atom_site_fract_y
_atom_site_fract_z
Hf1 0.0000 0.0000 0.0000
V1 0.2500 0.2500 0.2500
Br1 0.0000 0.0000 0.5000
```

Computed properties:
**Crystal system**: cubic
**Theoretical density**: 8.9 Mg/m³
**Density of states at the Fermi level**: 1.280 states/eV per atom

---

Stability summary: most stable i, least stable ii.

---

i | First-principles (PBE) data for a relaxed Hf3VBr crystal, as listed in Alexandria via LeMat-Bulk.

Structure (CIF):
```
data_Hf3VBr
_chemical_formula_sum 'Hf3 V1 Br1'
_cell_length_a 4.9517
_cell_length_b 4.9517
_cell_length_c 4.9517
_cell_angle_alpha 90.00
_cell_angle_beta 90.00
_cell_angle_gamma 90.00
_symmetry_space_group_name_H-M 'P m -3 m'
_symmetry_Int_Tables_number 221
_symmetry_space_group_name_Hall '-P 4 2 3'
loop_
_atom_site_label
_atom_site_fract_x
_atom_site_fract_y
_atom_site_fract_z
Hf1 0.0000 0.0000 0.5000
V1 0.0000 0.0000 0.0000
Br1 0.5000 0.5000 0.5000
```

Computed properties:
**Crystal system**: cubic
**Theoretical density**: 9.1 Mg/m³
**Density of states at the Fermi level**: 1.857 states/eV per atom

---

ii | First-principles (PBE) data for a relaxed Hf3VBr crystal, as listed in Alexandria via LeMat-Bulk.

Structure (CIF):
```
data_Hf3VBr
_chemical_formula_sum 'Hf3 V1 Br1'
_cell_length_a 4.8871
_cell_length_b 4.8871
_cell_length_c 4.8871
_cell_angle_alpha 90.00
_cell_angle_beta 90.00
_cell_angle_gamma 90.00
_symmetry_space_group_name_H-M 'P m -3 m'
_symmetry_Int_Tables_number 221
_symmetry_space_group_name_Hall '-P 4 2 3'
loop_
_atom_site_label
_atom_site_fract_x
_atom_site_fract_y
_atom_site_fract_z
Hf1 0.0000 0.0000 0.5000
V1 0.5000 0.5000 0.5000
Br1 0.0000 0.0000 0.0000
```

Computed properties:
**Crystal system**: cubic
**Theoretical density**: 9.5 Mg/m³
**Density of states at the Fermi level**: 0.938 states/eV per atom

---

Stability summary: most stable i, least stable ii.